{"formula": "V4SO5", "functional": "PBE with a Hubbard U", "state": "relaxed", "space_group": "C2/m (12)", "m_tot_mub_per_cell": 8.00, "total_energy_ev_per_atom": -7.43, "lattice_angstrom": [[6.5040, -1.5670, 0.0000], [6.5040, 1.5670, 0.0000], [-1.9274, 0.0000, 6.3169]], "species": ["V", "V", "V", "V", "S", "O", "O", "O", "O", "O"], "fractional_positions": [[0.0016, 0.0016, 0.2848], [0.3087, 0.3087, 0.8587], [0.6913, 0.6913, 0.1413], [0.9984, 0.9984, 0.7152], [0.5000, 0.5000, 0.0000], [0.1582, 0.1582, 0.3020], [0.1617, 0.1617, 0.8886], [0.5000, 0.5000, 0.5000], [0.8383, 0.8383, 0.1114], [0.8418, 0.8418, 0.6980]]}